1.
First-principles (PBE) data for a geometry-optimized TlRh5 structure, as listed in Alexandria via LeMat-Bulk.

Unit cell a=4.4783 b=2.8555 c=14.5794 alpha=90.00 beta=90.00 gamma=90.00
Space group Amm2 (No. 38)
Inequivalent atoms, fractional coordinates:
Tl: 0.0000 0.0000 0.0000 x2
Rh: 0.0000 0.0000 0.3285 x2
Rh: 0.0000 0.0000 0.6751 x2
Rh: 0.5000 0.0000 0.2219 x2
Rh: 0.5000 0.0000 0.5633 x2
Rh: 0.5000 0.0000 0.8811 x2

2.
First-principles (PBE) data for a geometry-optimized TlRh structure, as listed in Alexandria via LeMat-Bulk.

Unit cell a=3.1513 b=3.1513 c=28.1908 alpha=90.00 beta=90.00 gamma=120.00
Space group R-3m (No. 166, hexagonal axes)
Inequivalent atoms, fractional coordinates:
Tl: 0.0000 0.0000 0.1146 x6
Rh: 0.0000 0.0000 0.3687 x6

3.
First-principles (PBE) data for a geometry-optimized TlRh5 structure, as listed in Alexandria via LeMat-Bulk.

Unit cell a=7.3183 b=7.3183 c=7.3183 alpha=90.00 beta=90.00 gamma=90.00
Space group F-43m (No. 216)
Inequivalent atoms, fractional coordinates:
Tl: 0.0000 0.0000 0.0000 x4
Rh: 0.1246 0.1246 0.6246 x16
Rh: 0.2500 0.2500 0.2500 x4

4.
First-principles (PBE) data for a geometry-optimized TlRh5 structure, as listed in Alexandria via LeMat-Bulk.

Unit cell a=10.1993 b=2.8303 c=6.6872 alpha=90.00 beta=105.73 gamma=90.00
Space group Cm (No. 8)
Inequivalent atoms, fractional coordinates:
Tl: 0.0000 0.0000 0.0000 x2
Rh: 0.1233 0.5000 0.7152 x2
Rh: 0.1760 0.5000 0.3426 x2
Rh: 0.2756 0.0000 0.0565 x2
Rh: 0.3362 0.0000 0.6556 x2
Rh: 0.4498 0.5000 0.4005 x2

5.
First-principles (PBE) data for a geometry-optimized TlRh structure, as listed in Alexandria via LeMat-Bulk.

Unit cell a=3.9230 b=3.9230 c=9.8091 alpha=90.00 beta=90.00 gamma=90.00
Space group I4_1/amd (No. 141, origin choice 2)
Inequivalent atoms, fractional coordinates:
Tl: 0.0000 0.2500 0.3750 x4
Rh: 0.0000 0.2500 0.8750 x4

6.
First-principles (PBE) data for a geometry-optimized TlRh structure, as listed in Alexandria via LeMat-Bulk.

Unit cell a=7.4800 b=7.4800 c=7.4800 alpha=90.00 beta=90.00 gamma=90.00
Space group Pm-3n (No. 223)
Inequivalent atoms, fractional coordinates:
Tl: 0.0000 0.2500 0.5000 x6
Rh: 0.0000 0.5000 0.2500 x6

7.
First-principles (PBE) data for a geometry-optimized Tl3Rh5 structure, as listed in Alexandria via LeMat-Bulk.

Unit cell a=7.2292 b=8.7352 c=4.3360 alpha=90.00 beta=90.00 gamma=90.00
Space group Cmmm (No. 65)
Inequivalent atoms, fractional coordinates:
Tl: 0.0000 0.0000 0.0000 x2
Tl: 0.0000 0.2735 0.5000 x4
Rh: 0.0000 0.5000 0.0000 x2
Rh: 0.2353 0.0000 0.5000 x4
Rh: 0.2500 0.2500 0.0000 x4

8.
First-principles (PBE) data for a geometry-optimized Tl7Rh structure, as listed in Alexandria via LeMat-Bulk.

Unit cell a=9.5199 b=9.5199 c=9.5199 alpha=90.00 beta=90.00 gamma=90.00
Space group Fm-3m (No. 225)
Inequivalent atoms, fractional coordinates:
Tl: 0.0000 0.0000 0.0000 x4
Tl: 0.0000 0.2500 0.2500 x24
Rh: 0.0000 0.0000 0.5000 x4

9.
First-principles (PBE) data for a geometry-optimized TlRh structure, as listed in Alexandria via LeMat-Bulk.

Unit cell a=8.3684 b=8.3684 c=4.6119 alpha=90.00 beta=90.00 gamma=90.00
Space group I4/mmm (No. 139)
Inequivalent atoms, fractional coordinates:
Tl: 0.0000 0.2736 0.0000 x8
Rh: 0.1701 0.1701 0.5000 x8

10.
First-principles (PBE) data for a geometry-optimized Tl3Rh structure, as listed in Alexandria via LeMat-Bulk.

Energy relative to the lowest polymorph listed for this composition = 294 meV per atom

Unit cell a=7.3833 b=7.4056 c=3.4531 alpha=90.00 beta=90.00 gamma=90.00
Space group Cmmm (No. 65)
Inequivalent atoms, fractional coordinates:
Tl: 0.0000 0.0000 0.0000 x2
Tl: 0.2500 0.2500 0.5000 x4
Rh: 0.0000 0.5000 0.0000 x2

11.
First-principles (PBE) data for a geometry-optimized Tl3Rh structure, as listed in Alexandria via LeMat-Bulk.

Energy relative to the lowest polymorph listed for this composition = 314 meV per atom

Unit cell a=9.6814 b=9.6814 c=3.5547 alpha=90.00 beta=90.00 gamma=120.00
Space group R-3m (No. 166, hexagonal axes)
Inequivalent atoms, fractional coordinates:
Tl: 0.0000 0.5000 0.0000 x9
Rh: 0.0000 0.0000 0.0000 x3

12.
First-principles (PBE) data for a geometry-optimized TlRh structure, as listed in Alexandria via LeMat-Bulk.

Unit cell a=5.4771 b=5.4771 c=5.4771 alpha=90.00 beta=90.00 gamma=90.00
Space group Fm-3m (No. 225)
Inequivalent atoms, fractional coordinates:
Tl: 0.0000 0.0000 0.0000 x4
Rh: 0.0000 0.0000 0.5000 x4

13.
First-principles (PBE) data for a geometry-optimized Tl2Rh structure, as listed in Alexandria via LeMat-Bulk.

Unit cell a=4.8155 b=4.8155 c=3.1246 alpha=90.00 beta=90.00 gamma=90.00
Space group P4/mmm (No. 123)
Inequivalent atoms, fractional coordinates:
Tl: 0.0000 0.5000 0.0000 x2
Rh: 0.0000 0.0000 0.5000 x1

14.
First-principles (PBE) data for a geometry-optimized Tl2Rh3 structure, as listed in Alexandria via LeMat-Bulk.

Energy relative to the lowest polymorph listed for this composition = 91 meV per atom

Unit cell a=4.4957 b=4.4957 c=15.3149 alpha=90.00 beta=90.00 gamma=120.00
Space group R-3m (No. 166, hexagonal axes)
Inequivalent atoms, fractional coordinates:
Tl: 0.0000 0.0000 0.0990 x6
Rh: 0.0000 0.0000 0.3068 x6
Rh: 0.0000 0.0000 0.5000 x3

15.
First-principles (PBE) data for a geometry-optimized TlRh structure, as listed in Alexandria via LeMat-Bulk.

Unit cell a=3.2551 b=10.3612 c=4.5093 alpha=90.00 beta=90.00 gamma=90.00
Space group Cmcm (No. 63)
Inequivalent atoms, fractional coordinates:
Tl: 0.0000 0.1363 0.2500 x4
Rh: 0.0000 0.4062 0.2500 x4

16.
First-principles (PBE) data for a geometry-optimized TlRh structure, as listed in Alexandria via LeMat-Bulk.

Unit cell a=3.2283 b=3.2283 c=7.9085 alpha=90.00 beta=90.00 gamma=90.00
Space group P4/nmm (No. 129, origin choice 2)
Inequivalent atoms, fractional coordinates:
Tl: 0.2500 0.2500 0.1729 x2
Rh: 0.2500 0.2500 0.5806 x2

17.
First-principles (PBE) data for a geometry-optimized Tl2Rh structure, as listed in Alexandria via LeMat-Bulk.

Unit cell a=7.7400 b=7.7400 c=3.7626 alpha=90.00 beta=90.00 gamma=120.00
Space group P-62m (No. 189)
Inequivalent atoms, fractional coordinates:
Tl: 0.0000 0.2664 0.0000 x3
Tl: 0.0000 0.6001 0.5000 x3
Rh: 0.0000 0.0000 0.5000 x1
Rh: 0.3333 0.6667 0.0000 x2

18.
First-principles (PBE) data for a geometry-optimized Tl2Rh3 structure, as listed in Alexandria via LeMat-Bulk.

Energy relative to the lowest polymorph listed for this composition = 4 meV per atom

Unit cell a=4.6262 b=12.7749 c=3.0508 alpha=90.00 beta=90.00 gamma=90.00
Space group Cmmm (No. 65)
Inequivalent atoms, fractional coordinates:
Tl: 0.0000 0.1264 0.0000 x4
Rh: 0.0000 0.3191 0.5000 x4
Rh: 0.0000 0.5000 0.0000 x2

19.
First-principles (PBE) data for a geometry-optimized TlRh structure, as listed in Alexandria via LeMat-Bulk.

Unit cell a=3.0477 b=12.2430 c=6.5910 alpha=90.00 beta=90.00 gamma=90.00
Space group Amm2 (No. 38)
Inequivalent atoms, fractional coordinates:
Tl: 0.0000 0.0000 0.0000 x2
Tl: 0.5000 0.2284 0.3352 x4
Rh: 0.0000 0.1149 0.6313 x4
Rh: 0.5000 0.0000 0.3628 x2

20.
First-principles (PBE) data for a geometry-optimized Tl2Rh structure, as listed in Alexandria via LeMat-Bulk.

Unit cell a=13.7120 b=3.3070 c=6.6144 alpha=90.00 beta=112.54 gamma=90.00
Space group C2/m (No. 12)
Inequivalent atoms, fractional coordinates:
Tl: 0.0254 0.0000 0.2921 x4
Tl: 0.2096 0.5000 0.7360 x4
Rh: 0.1141 0.5000 0.0586 x4

21.
First-principles (PBE) data for a geometry-optimized Tl3Rh structure, as listed in Alexandria via LeMat-Bulk.

Energy relative to the lowest polymorph listed for this composition = 0 meV per atom

Unit cell a=5.3116 b=5.3116 c=5.3116 alpha=90.00 beta=90.00 gamma=90.00
Space group Pm-3m (No. 221)
Inequivalent atoms, fractional coordinates:
Tl: 0.0000 0.0000 0.5000 x3
Rh: 0.0000 0.0000 0.0000 x1

22.
First-principles (PBE) data for a geometry-optimized TlRh structure, as listed in Alexandria via LeMat-Bulk.

Unit cell a=3.1138 b=3.1138 c=14.9249 alpha=90.00 beta=90.00 gamma=120.00
Space group P-6m2 (No. 187)
Inequivalent atoms, fractional coordinates:
Tl: 0.0000 0.0000 0.0000 x1
Tl: 0.6667 0.3333 0.2157 x2
Rh: 0.0000 0.0000 0.3694 x2
Rh: 0.6667 0.3333 0.5000 x1

23.
First-principles (PBE) data for a geometry-optimized Tl2Rh structure, as listed in Alexandria via LeMat-Bulk.

Unit cell a=3.3846 b=15.7293 c=5.3048 alpha=90.00 beta=90.00 gamma=90.00
Space group Cmcm (No. 63)
Inequivalent atoms, fractional coordinates:
Tl: 0.0000 0.0570 0.2500 x4
Tl: 0.0000 0.3416 0.2500 x4
Rh: 0.0000 0.2996 0.7500 x4

24.
First-principles (PBE) data for a geometry-optimized Tl2Rh structure, as listed in Alexandria via LeMat-Bulk.

Unit cell a=6.1640 b=6.1640 c=10.4595 alpha=90.00 beta=90.00 gamma=120.00
Space group P6_3/mmc (No. 194)
Inequivalent atoms, fractional coordinates:
Tl: 0.0000 0.0000 0.0000 x2
Tl: 0.1696 0.3392 0.2500 x6
Rh: 0.3333 0.6667 0.0469 x4

25.
First-principles (PBE) data for a geometry-optimized Tl3Rh structure, as listed in Alexandria via LeMat-Bulk.

Energy relative to the lowest polymorph listed for this composition = 128 meV per atom

Unit cell a=3.2673 b=3.3618 c=9.3763 alpha=90.00 beta=90.00 gamma=90.00
Space group Pmm2 (No. 25)
Inequivalent atoms, fractional coordinates:
Tl: 0.0000 0.0000 0.0000 x1
Tl: 0.0000 0.5000 0.3103 x1
Tl: 0.5000 0.5000 0.7125 x1
Rh: 0.5000 0.0000 0.4765 x1

26.
First-principles (PBE) data for a geometry-optimized TlRh5 structure, as listed in Alexandria via LeMat-Bulk.

Unit cell a=3.9365 b=11.9626 c=3.9339 alpha=90.00 beta=90.00 gamma=90.00
Space group Cmmm (No. 65)
Inequivalent atoms, fractional coordinates:
Tl: 0.0000 0.0000 0.0000 x2
Rh: 0.0000 0.1740 0.5000 x4
Rh: 0.0000 0.3266 0.0000 x4
Rh: 0.0000 0.5000 0.5000 x2

27.
First-principles (PBE) data for a geometry-optimized TlRh structure, as listed in Alexandria via LeMat-Bulk.

Unit cell a=5.3135 b=5.3135 c=5.3135 alpha=90.00 beta=90.00 gamma=90.00
Space group P2_13 (No. 198)
Inequivalent atoms, fractional coordinates:
Tl: 0.0914 0.0914 0.0914 x4
Rh: 0.1027 0.6027 0.8973 x4

Asked for spin magnetization across the records above, the calculation gives 0.0001 0.3986 0.4840 0.0003 0.0001 0.0000 0.0000 0.0000 0.0001 0.0000 0.0002 0.0000 0.0000 0.3662 0.0000 0.0000 0.0000 0.0000 0.0000 0.0000 0.0000 0.0010 0.0000 0.0000 0.0000 0.0001 0.0000 μB/atom in order.
Asked for energy of formation from the pure elements across the records above, the calculation gives 1.15 0.78 2.29 1.05 0.55 1.70 1.24 1.87 0.41 1.36 1.44 0.58 0.19 1.43 0.27 0.49 0.46 0.99 0.28 0.45 0.18 0.72 0.49 2.18 0.70 0.70 0.33 eV/f.u. in order.
Asked for uncorrected energy across the records above, the calculation gives -75.951 -53.600 -147.336 -76.147 -36.668 -48.081 -85.239 -88.191 -74.431 -26.182 -39.030 -36.570 -11.889 -76.081 -37.776 -18.447 -34.876 -51.595 -56.633 -46.526 -14.266 -26.998 -46.372 -39.614 -13.753 -76.842 -37.562 eV for the cell shown in order.